Below is crystalline VMoW2 at its relaxed geometry, with properties calculated at the PBE-GGA level.

The structure in POSCAR format:
```
VMoW2
1.0
3.134 0.000 0.000
0.000 4.431 0.000
0.000 0.000 4.431
W Mo V
2 1 1
Direct
0.000 0.000 0.500
0.000 0.500 0.000
0.500 0.000 0.000
0.500 0.500 0.500
```

Results
ρ in g cm⁻³: 13.89
Polymorph energy (0 for the lowest one) in eV/atom: 0.014
Calculated formation energy in kcal/mol of atoms: -1.93
Crystal system: tetragonal
Symmetry: P4/mmm